Record 1
Dy4Cd3Ir | the Alexandria database | GGA-PBE | relaxed; size of the total moment = 0.00 μB per formula unit; formation energy from the elements = -0.4628 eV per atom
1.0
3.5919 0.0000 0.0000
0.0000 3.5919 0.0000
0.0000 0.0000 15.2388
Cd Ir Dy
3 1 4
Cartesian
1.7960 1.7960 3.6938
1.7960 1.7960 7.6194
1.7960 1.7960 11.5450
1.7960 1.7960 0.0000
0.0000 0.0000 13.6460
0.0000 0.0000 1.5929
0.0000 0.0000 5.6470
0.0000 0.0000 9.5918

Record 2
Cr2AgHg | the Alexandria database | GGA-PBE | relaxed; size of the total moment = 0.00 μB per formula unit; formation energy from the elements = 0.6935 eV per atom
1.0
-2.3168 3.4356 1.4131
-1.8920 -1.7660 1.1917
0.9632 -1.7062 5.7273
Ag Cr Hg
1 2 1
Cartesian
-1.8549 -0.8864 5.8959
0.7564 -1.7126 5.4038
-0.2576 -1.7297 3.7831
-1.3906 0.8497 2.4363

Record 3
KPb | the Alexandria database | GGA-PBE | relaxed; size of the total moment = 0.00 μB per formula unit; relative energy among the computed polymorphs = 0.271 eV per atom; formation energy from the elements = 0.0295 eV per atom
1.0
-1.7526 3.1976 -0.8568
0.5488 -2.6004 -2.6396
-5.3520 -2.5566 1.4060
K Pb
1 1
Cartesian
0.0000 0.0000 0.0000
-3.6615 -0.0133 -0.7481